No. 1
This record from the Alexandria database describes Ba3SrTl2Cu2HgO10 after structural relaxation. The functional is PBEsol.

Properties
- crystal system = tetragonal

```
Ba3SrTl2Cu2HgO10
1.0
-0.176 0.764 -3.741
-3.042 -2.291 -0.325
-11.132 17.125 5.973
O Hg Ba Tl Sr Cu
10 1 3 2 1 2
direct
0.616 0.116 0.233
0.822 0.822 0.644
0.387 0.887 0.774
0.270 0.270 0.540
0.116 0.616 0.233
0.173 0.173 0.345
0.725 0.725 0.450
0.887 0.387 0.774
0.049 0.049 0.097
0.954 0.954 0.909
0.001 0.001 0.003
0.341 0.341 0.681
0.571 0.571 0.142
0.432 0.432 0.864
0.774 0.774 0.548
0.221 0.221 0.441
0.657 0.657 0.314
0.886 0.886 0.772
0.118 0.118 0.237
```

***

No. 2
This record from the Alexandria database describes YRe2Te after structural relaxation. The functional is PBEsol.

Properties
- crystal system = monoclinic

```
YRe2Te
1.0
3.676 0.000 0.000
0.000 4.679 -0.096
-1.838 -2.436 4.917
Re Y Te
2 1 1
direct
0.732 0.821 0.465
0.268 0.179 0.535
0.500 0.000 0.000
0.000 0.500 0.000
```

***

No. 3
This record from the Alexandria database describes LaZnSi3 after structural relaxation. The functional is PBEsol.

Properties
- crystal system = cubic

```
LaZnSi3
1.0
-2.248 0.523 4.953
1.995 -4.884 1.421
4.563 2.393 1.819
Si Zn La
3 1 1
direct
0.000 0.000 0.500
0.000 0.500 0.000
0.500 0.000 0.000
0.500 0.500 0.500
0.000 0.000 0.000
```

***

Summary of ρ in g cm⁻³
7.5, 11.7, 2.9
(order as listed above)
Summary of energy relative to the elements, uncorrected in eV per atom
-1.525, 0.304, 1.507
(order as listed above)